DFT (GGA-PBE) results for a geometry-optimized ScAs2Ru structure.

## Properties
Calculated total energy (eV for the cell shown): -53.73

Cell lengths 4.1044, 5.0626, 6.5614 Å; angles 90.00, 90.00, 90.00 degrees
Closest atoms and distances in Å follow each position.
Space group Immm (No. 71)
Unique sites:
1 Sc 0.0000 0.0000 0.0000 (multiplicity 2)  8 As 2.72-2.94
2 As 0.0000 0.5000 0.2274 (multiplicity 4)  2 Ru 2.54, 2 Sc 2.72
3 Ru 0.0000 0.0000 0.5000 (multiplicity 2)  4 As 2.54


DFT (GGA-PBE) results for a geometry-optimized ScAsRu structure.

## Properties
Calculated total energy (eV for the cell shown): -87.31

Cell lengths 6.0672, 6.0672, 6.0672 Å; angles 90.00, 90.00, 90.00 degrees
Closest atoms and distances in Å follow each position.
Space group F-43m (No. 216)
Unique sites:
1 Sc 0.0000 0.0000 0.0000 (multiplicity 4)  4 Ru 2.63
2 As 0.0000 0.0000 0.5000 (multiplicity 4)  4 Ru 2.63
3 Ru 0.2500 0.2500 0.2500 (multiplicity 4)  4 As 2.63, 4 Sc 2.63


DFT (GGA-PBE) results for a geometry-optimized ScAs2Ru structure.

## Properties
Calculated total energy (eV for the cell shown): -26.80

Cell lengths 3.5501, 3.5501, 5.5432 Å; angles 90.00, 90.00, 90.00 degrees
Closest atoms and distances in Å follow each position.
Space group P4mm (No. 99)
Unique sites:
1 Sc 0.0000 0.0000 0.0000 (multiplicity 1)  6 As 2.64-2.79
2 As 0.0000 0.0000 0.5027 (multiplicity 1)  4 Ru 2.64, 2 Sc 2.76-2.79
3 As 0.5000 0.5000 0.1497 (multiplicity 1)  4 Sc 2.64, 2 Ru 2.75-2.79
4 Ru 0.5000 0.5000 0.6531 (multiplicity 1)  6 As 2.64-2.79


DFT (GGA-PBE) results for a geometry-optimized ScAs2Ru2 structure.

## Properties
Calculated total energy (eV for the cell shown): -71.49

Cell lengths 7.3076, 7.3076, 2.9829 Å; angles 90.00, 90.00, 90.00 degrees
Closest atoms and distances in Å follow each position.
Space group P4/mbm (No. 127)
Unique sites:
1 Sc 0.0000 0.0000 0.0000 (multiplicity 2)  4 As 2.77, 2 Sc 2.98
2 As 0.1533 0.3467 0.0000 (multiplicity 4)  6 Ru 2.59-2.62, 2 Sc 2.77
3 Ru 0.1418 0.6418 0.5000 (multiplicity 4)  6 As 2.59-2.62


DFT (GGA-PBE) results for a geometry-optimized ScAsRu structure.

## Properties
Calculated total energy (eV for the cell shown): -81.09

Cell lengths 6.1515, 6.1515, 6.1515 Å; angles 90.00, 90.00, 90.00 degrees
Closest atoms and distances in Å follow each position.
Space group F-43m (No. 216)
Unique sites:
1 Sc 0.0000 0.0000 0.0000 (multiplicity 4)  4 As 2.66, 4 Ru 2.66
2 As 0.2500 0.2500 0.2500 (multiplicity 4)  4 Sc 2.66
3 Ru 0.2500 0.2500 0.7500 (multiplicity 4)  4 Sc 2.66


DFT (GGA-PBE) results for a geometry-optimized ScAs2Ru structure.

## Properties
Calculated total energy (eV for the cell shown): -106.83

Cell lengths 6.4259, 6.4259, 6.4259 Å; angles 90.00, 90.00, 90.00 degrees
Closest atoms and distances in Å follow each position.
Space group Fm-3m (No. 225)
Unique sites:
1 Sc 0.0000 0.0000 0.0000 (multiplicity 4)  8 As 2.78
2 As 0.2500 0.2500 0.2500 (multiplicity 8)  4 Ru 2.78, 4 Sc 2.78
3 Ru 0.0000 0.0000 0.5000 (multiplicity 4)  8 As 2.78


DFT (GGA-PBE) results for a geometry-optimized ScAsRu4 structure.

## Properties
Calculated total energy (eV for the cell shown): -189.11

Cell lengths 7.3068, 7.3068, 7.3068 Å; angles 90.00, 90.00, 90.00 degrees
Closest atoms and distances in Å follow each position.
Space group F-43m (No. 216)
Unique sites:
1 Sc 0.0000 0.0000 0.0000 (multiplicity 4)  12 Ru 3.03, 4 As 3.16
2 As 0.2500 0.2500 0.7500 (multiplicity 4)  12 Ru 3.03, 4 Sc 3.16
3 Ru 0.1244 0.1244 0.3756 (multiplicity 16)  6 Ru 2.57-2.60


DFT (GGA-PBE) results for a geometry-optimized ScAs2Ru structure.

## Properties
Calculated total energy (eV for the cell shown): -26.85

Cell lengths 3.3458, 4.0391, 5.2276 Å; angles 90.00, 93.26, 90.00 degrees
Closest atoms and distances in Å follow each position.
Space group P2/m (No. 10)
Unique sites:
1 Sc 0.0000 0.0000 0.0000 (multiplicity 1)  4 As 2.74, 2 Ru 3.02
2 As 0.3764 0.5000 0.7546 (multiplicity 2)  2 Ru 2.47, 1 As 2.65, 2 Sc 2.74
3 Ru 0.5000 0.0000 0.5000 (multiplicity 1)  4 As 2.47


Taking the records one at a time from the top gives formation energy from the elements values of -1.96 -1.57 -1.90 -1.56 -0.02 -1.80 0.81 -1.94 eV/f.u..